Record 1
Compound: Ba2Al3PbAu12
Source: the Alexandria database
Functional: PBE
Structure: optimized geometry

The structure in POSCAR format:
```
Ba2Al3PbAu12
1.0
-3.5365 -6.5298 4.5657
3.7632 -7.8604 -0.2111
4.1132 -2.9357 7.1032
Au Al Ba Pb
12 3 2 1
direct
0.6563 0.6563 0.1209
0.6563 0.1209 0.6563
0.8729 0.8729 0.3991
0.6009 0.1271 0.1271
0.3437 0.8791 0.3437
0.8729 0.3991 0.8729
0.1209 0.6563 0.6563
0.1271 0.1271 0.6009
0.1271 0.6009 0.1271
0.3991 0.8729 0.8729
0.8791 0.3437 0.3437
0.3437 0.3437 0.8791
0.0000 0.5000 0.0000
0.0000 0.0000 0.5000
0.5000 0.0000 0.0000
0.3902 0.3902 0.3902
0.6098 0.6098 0.6098
0.0000 0.0000 0.0000
```

Summary:
spin magnetization: 0.000 μB per atom
calculated volume: 26.5 Å³ per atom
energy of formation: -164 meV per atom
space-group type: R-3m, No. 166
theoretical density: 10.19 g/cm3

Record 2
Compound: SrTe3Br
Source: the Alexandria database
Functional: PBE
Structure: optimized geometry

The structure in POSCAR format:
```
SrTe3Br
1.0
6.1540 0.0000 0.0000
0.0000 6.1540 0.0000
0.0000 0.0000 6.1540
Te Sr Br
3 1 1
direct
0.0000 0.5000 0.0000
0.5000 0.0000 0.0000
0.0000 0.0000 0.5000
0.0000 0.0000 0.0000
0.5000 0.5000 0.5000
```

Summary:
spin magnetization: 0.003 μB per atom
calculated volume: 46.6 Å³ per atom
distance to the lowest polymorph of the same formula: 425.8 meV per atom
E_form (uncorrected): 258.5 meV per atom
space-group type: Pm-3m, No. 221
theoretical density: 3.92 g/cm3

Record 3
Compound: PuUSnPt
Source: the Alexandria database
Functional: PBE
Structure: optimized geometry

The structure in POSCAR format:
```
PuUSnPt
1.0
4.9904 0.0000 0.0000
2.4952 4.3218 0.0000
2.4952 1.4406 4.0746
Pt Pu U Sn
1 1 1 1
direct
0.0000 0.0000 0.0000
0.5000 0.5000 0.5000
0.7500 0.7500 0.7500
0.2500 0.2500 0.2500
```

Summary:
spin magnetization: 2.396 μB per atom
calculated volume: 22.0 Å³ per atom
energy of formation: -302 meV per atom
space-group type: F-43m, No. 216
theoretical density: 15.04 g/cm3

Record 4
Compound: Sm2YRu
Source: the Alexandria database
Functional: PBE
Structure: optimized geometry

The structure in POSCAR format:
```
Sm2YRu
1.0
-4.7162 3.7564 2.0387
-4.9257 -4.3886 -3.3084
-0.7018 -5.1705 7.9036
Sm Ru Y
8 4 4
direct
0.1686 0.6771 0.0650
0.8314 0.3229 0.5650
0.3314 0.1771 0.4350
0.8314 0.3229 0.9350
0.6686 0.8229 0.5650
0.1686 0.6771 0.4350
0.6686 0.8229 0.9350
0.3314 0.1771 0.0650
0.9548 0.6144 0.7500
0.5452 0.1144 0.7500
0.0452 0.3856 0.2500
0.4548 0.8856 0.2500
0.1391 0.9584 0.7500
0.3609 0.4584 0.7500
0.8609 0.0416 0.2500
0.6391 0.5416 0.2500
```

Summary:
spin magnetization: 0.000 μB per atom
calculated volume: 27.8 Å³ per atom
distance to the lowest polymorph of the same formula: 0.0 meV per atom
energy of formation: -253 meV per atom
space-group type: Pnma, No. 62
theoretical density: 7.33 g/cm3

Record 5
Compound: Ti2CdBi
Source: the Alexandria database
Functional: PBE
Structure: optimized geometry

The structure in POSCAR format:
```
Ti2CdBi
1.0
4.2374 0.0000 0.0000
0.0000 4.3635 0.0000
0.0000 0.0000 4.3635
Ti Cd Bi
2 1 1
direct
0.0000 0.0000 0.5000
0.0000 0.5000 0.0000
0.5000 0.5000 0.5000
0.5000 0.0000 0.0000
```

Summary:
spin magnetization: 0.000 μB per atom
calculated volume: 20.2 Å³ per atom
distance to the lowest polymorph of the same formula: 0.0 meV per atom
energy of formation: 50 meV per atom
space-group type: P4/mmm, No. 123
theoretical density: 8.59 g/cm3

Record 6
Compound: BaCaY2Ru
Source: the Alexandria database
Functional: PBE
Structure: optimized geometry

The structure in POSCAR format:
```
BaCaY2Ru
1.0
-1.2869 2.1681 -4.8266
-1.2210 -4.9550 -1.9002
-5.5773 0.6859 1.7951
Ca Ba Y Ru
1 1 2 1
direct
0.0000 0.0000 0.5000
0.5000 0.5000 0.5000
0.5000 0.0000 0.0000
0.0000 0.5000 0.0000
0.0000 0.0000 0.0000
```

Summary:
spin magnetization: 0.000 μB per atom
calculated volume: 35.0 Å³ per atom
distance to the lowest polymorph of the same formula: 0.0 meV per atom
energy of formation: -74 meV per atom
space-group type: P4/mmm, No. 123
theoretical density: 4.33 g/cm3